No. 1
Here is an optimized crystal structure of Li2Al8Tc from Alexandria. Energies are from PBE.

a b c (Å): 8.4646 8.4646 4.9340
angles (deg): 100.07 100.07 30.95
With the nearest neighbours (Å) after each atom.
Atoms (fractional coordinates):
Li (0.1462, 0.1462, 0.3223)  10 Al 2.69-3.01
Li (0.8538, 0.8538, 0.6777)  10 Al 2.69-3.01
Al (0.0390, 0.0390, 0.7585)  2 Tc 2.62, 4 Al 2.64-2.90
Al (0.2495, 0.2495, 0.8310)  7 Al 2.75-2.99, 3 Li 2.76-3.01
Al (0.3404, 0.3404, 0.3573)  1 Tc 2.57, 5 Al 2.73-2.84, 2 Li 2.74
Al (0.4209, 0.4209, 0.9187)  6 Al 2.56-2.84, 1 Tc 2.63, 2 Li 2.69
Al (0.5791, 0.5791, 0.0813)  6 Al 2.56-2.84, 1 Tc 2.63, 2 Li 2.69
Al (0.6596, 0.6596, 0.6427)  1 Tc 2.57, 5 Al 2.73-2.84, 2 Li 2.74
Al (0.7505, 0.7505, 0.1690)  7 Al 2.75-2.99, 3 Li 2.76-3.01
Al (0.9610, 0.9610, 0.2415)  2 Tc 2.62, 4 Al 2.64-2.90
Tc (0.5000, 0.5000, 0.5000)  8 Al 2.57-2.63

Output
Its crystal system is monoclinic. For the magnetic moment, the calculation gives 0.00 μB per formula unit. For the calculated formation energy, the calculation gives -13.8 kJ per mole of atoms. The density of states at the Fermi level comes out at 4.93 states/eV/f.u.

=====

No. 2
Here is an optimized crystal structure of Li2AlTc2 from Alexandria. Energies are from PBE.

a b c (Å): 6.7485 6.7485 3.2420
angles (deg): 90.00 90.00 90.00
With the nearest neighbours (Å) after each atom.
Atoms (fractional coordinates):
Li (0.1804, 0.3196, 0.0000)  6 Tc 2.53-2.61
Li (0.3196, 0.8196, 0.0000)  6 Tc 2.53-2.61
Li (0.6804, 0.1804, 0.0000)  6 Tc 2.53-2.61
Li (0.8196, 0.6804, 0.0000)  6 Tc 2.53-2.61
Al (0.0000, 0.0000, 0.5000)  4 Tc 2.71, 8 Li 2.96
Al (0.5000, 0.5000, 0.5000)  4 Tc 2.71, 8 Li 2.96
Tc (0.1160, 0.6160, 0.5000)  1 Tc 2.21
Tc (0.3840, 0.1160, 0.5000)  1 Tc 2.21
Tc (0.6160, 0.8840, 0.5000)  1 Tc 2.21
Tc (0.8840, 0.3840, 0.5000)  1 Tc 2.21

Output
Its crystal system is tetragonal. For the magnetic moment, the calculation gives 0.00 μB per formula unit. For the calculated formation energy, the calculation gives 32.6 kJ per mole of atoms. The density of states at the Fermi level comes out at 2.51 states/eV/f.u. The calculation puts the relative energy among the computed polymorphs at 0.000 eV/atom.